[1]
## NaPrNdLu (PBE)

Data for a geometry-optimized NaPrNdLu structure.

Output
**Formation enthalpy at 0 K**: 247 meV/atom
**Space-group type**: F-43m, No. 216

a b c (Å): 5.728 5.728 5.728
angles (deg): 60.00 60.00 60.00
Sites, in units of the cell vectors:
Pr: 0.500 0.500 0.500
Na: 0.750 0.750 0.750
Lu: 0.250 0.250 0.250
Nd: 0.000 0.000 0.000

***

[2]
## TbLu2Zr (PBE)

Data for a geometry-optimized TbLu2Zr structure.

Output
**Formation enthalpy at 0 K**: 77 meV/atom
**Space-group type**: P4/mmm, No. 123

a b c (Å): 4.806 4.809 4.809
angles (deg): 90.00 90.00 90.00
Sites, in units of the cell vectors:
Lu: 0.000 0.000 0.500
Lu: 0.000 0.500 0.000
Tb: 0.500 0.500 0.500
Zr: 0.500 0.000 0.000

***

[3]
## ZrNi2SnPd (PBE)

Data for a geometry-optimized ZrNi2SnPd structure.

Output
**Formation enthalpy at 0 K**: 972 meV/atom
**Space-group type**: P4/mmm, No. 123

a b c (Å): 4.583 5.362 4.583
angles (deg): 90.00 90.00 90.00
Site moments in Bohr magnetons follow the coordinates.
Sites, in units of the cell vectors:
Zr: 0.000 0.500 0.000  0.08
Sn: 0.000 0.000 0.000  0.01
Pd: 0.500 0.500 0.500  0.04
Ni: 0.000 0.000 0.500  0.27
Ni: 0.500 0.000 0.000  0.30

***

[4]
## Be2AgHg (PBE)

Data for a geometry-optimized Be2AgHg structure.

Output
**Formation enthalpy at 0 K**: 354 meV/atom
**Space-group type**: Cm, No. 8

a b c (Å): 4.749 4.749 4.400
angles (deg): 74.51 74.51 36.42
Sites, in units of the cell vectors:
Be: 0.021 0.021 0.015
Be: 0.726 0.726 0.749
Hg: 0.485 0.485 0.551
Ag: 0.268 0.268 0.186

***

[5]
## Ta2P (PBE)

Data for a geometry-optimized Ta2P structure.

Output
**Formation enthalpy at 0 K**: -565 meV/atom
**Space-group type**: Pmmm, No. 47

a b c (Å): 8.953 3.300 3.421
angles (deg): 90.00 90.00 90.00
Sites, in units of the cell vectors:
Ta: 0.190 0.000 0.500
Ta: 0.810 0.000 0.500
Ta: 0.500 0.500 0.500
Ta: 0.000 0.500 0.000
P: 0.295 0.500 0.000
P: 0.705 0.500 0.000

***

[6]
## MnAgSb2 (PBE)

Data for a geometry-optimized MnAgSb2 structure.

Output
**Space-group type**: C2/m, No. 12

a b c (Å): 5.280 5.280 3.106
angles (deg): 90.16 90.16 90.06
Site moments in Bohr magnetons follow the coordinates.
Sites, in units of the cell vectors:
Ag: 0.500 0.000 0.500  0.01
Mn: 0.000 0.500 0.500  3.77
Sb: 0.000 0.000 0.000  -0.03
Sb: 0.500 0.500 0.000  -0.03

***

[7]
## Ce3Pa2TiN6 (PBE)

Data for a geometry-optimized Ce3Pa2TiN6 structure.

Output
**Space-group type**: C2/m, No. 12

a b c (Å): 5.949 5.949 6.047
angles (deg): 99.43 99.43 119.93
Sites, in units of the cell vectors:
Ce: 0.165 0.835 0.500
Ce: 0.835 0.165 0.500
Ce: 0.500 0.500 0.500
Pa: 0.333 0.667 0.000
Pa: 0.667 0.333 0.000
Ti: 0.000 0.000 0.000
N: 0.928 0.609 0.784
N: 0.754 0.754 0.220
N: 0.072 0.391 0.216
N: 0.609 0.928 0.784
N: 0.246 0.246 0.780
N: 0.391 0.072 0.216

***

[8]
## CrHg3As (PBE)

Data for a geometry-optimized CrHg3As structure.

Output
**Formation enthalpy at 0 K**: 731 meV/atom
**Space-group type**: Pm-3m, No. 221

a b c (Å): 5.312 5.312 5.312
angles (deg): 90.00 90.00 90.00
Site moments in Bohr magnetons follow the coordinates.
Sites, in units of the cell vectors:
Cr: 0.500 0.500 0.500  4.29
As: 0.000 0.000 0.000  0.03
Hg: 0.000 0.500 0.000  0.00
Hg: 0.000 0.000 0.500  0.02
Hg: 0.500 0.000 0.000  0.02

***

[9]
## Ba3La2Cl12 (PBE)

Data for a geometry-optimized Ba3La2Cl12 structure.

Output
**Space-group type**: C2/c, No. 15

a b c (Å): 8.928 8.928 16.021
angles (deg): 79.42 79.42 109.91
Sites, in units of the cell vectors:
Ba: 0.875 0.125 0.250
Ba: 0.791 0.541 0.418
Ba: 0.541 0.791 0.918
Ba: 0.459 0.209 0.082
Ba: 0.209 0.459 0.582
Ba: 0.125 0.875 0.750
La: 0.955 0.705 0.089
La: 0.705 0.955 0.589
La: 0.295 0.045 0.411
La: 0.045 0.295 0.911
Cl: 0.379 0.414 0.924
Cl: 0.069 0.080 0.075
Cl: 0.586 0.621 0.576
Cl: 0.502 0.984 0.741
Cl: 0.777 0.757 0.241
Cl: 0.146 0.654 0.924
Cl: 0.920 0.931 0.425
Cl: 0.654 0.146 0.424
Cl: 0.984 0.502 0.241
Cl: 0.698 0.161 0.925
Cl: 0.243 0.223 0.259
Cl: 0.839 0.302 0.575
Cl: 0.161 0.698 0.425
Cl: 0.757 0.777 0.741
Cl: 0.302 0.839 0.075
Cl: 0.016 0.498 0.759
Cl: 0.346 0.854 0.576
Cl: 0.080 0.069 0.575
Cl: 0.854 0.346 0.076
Cl: 0.223 0.243 0.759
Cl: 0.498 0.016 0.259
Cl: 0.414 0.379 0.424
Cl: 0.931 0.920 0.925
Cl: 0.621 0.586 0.076

***

[10]
## MnSnIrPt (PBE)

Data for a geometry-optimized MnSnIrPt structure.

Output
**Formation enthalpy at 0 K**: -138 meV/atom
**Space-group type**: Pm, No. 6

a b c (Å): 3.042 4.393 5.292
angles (deg): 90.00 106.47 90.00
Site moments in Bohr magnetons follow the coordinates.
Sites, in units of the cell vectors:
Mn: 0.982 0.500 0.456  3.70
Sn: 0.688 0.000 0.862  -0.01
Ir: 0.428 0.000 0.346  0.06
Pt: 0.257 0.500 0.002  0.05

***

[11]
## Pr12Pd6Rh (PBE)

Data for a geometry-optimized Pr12Pd6Rh structure.

Output
**Formation enthalpy at 0 K**: -457 meV/atom
**Space-group type**: R-3, No. 148

a b c (Å): 8.516 8.516 8.516
angles (deg): 98.10 98.10 98.10
Sites, in units of the cell vectors:
Pr: 0.817 0.583 0.423
Pr: 0.423 0.817 0.583
Pr: 0.583 0.423 0.817
Pr: 0.183 0.417 0.577
Pr: 0.577 0.183 0.417
Pr: 0.417 0.577 0.183
Pr: 0.077 0.958 0.321
Pr: 0.042 0.679 0.923
Pr: 0.679 0.923 0.042
Pr: 0.923 0.042 0.679
Pr: 0.958 0.321 0.077
Pr: 0.321 0.077 0.958
Pd: 0.691 0.872 0.380
Pd: 0.620 0.309 0.128
Pd: 0.128 0.620 0.309
Pd: 0.309 0.128 0.620
Pd: 0.380 0.691 0.872
Pd: 0.872 0.380 0.691
Rh: 0.000 0.000 0.000

***

[12]
## PdClF2 (PBE)

Data for a geometry-optimized PdClF2 structure.

Output
**Space-group type**: C2/c, No. 15

a b c (Å): 3.899 6.161 6.525
angles (deg): 84.36 72.62 70.78
Sites, in units of the cell vectors:
Pd: 0.321 0.250 0.358
Pd: 0.679 0.750 0.642
Cl: 0.925 0.250 0.149
Cl: 0.075 0.750 0.851
F: 0.199 0.587 0.352
F: 0.448 0.913 0.352
F: 0.801 0.413 0.648
F: 0.552 0.087 0.648

***

Calculated energy, -0.265 -0.403 -0.359 -0.169 -0.755 -0.355 -0.694 -0.169 -0.343 -0.526 -0.404 -0.260 Ry per atom (same order as the records).